DFT (GGA-PBE) results for an optimized crystal structure of Gd2LuHg.

Cell: 3.6174 3.6174 8.8831 Å, 90.00 90.00 90.00°
Space group P4/mmm (No. 123)
Asymmetric unit:
Gd (0.0000, 0.0000, 0.2280) x2
Lu (0.5000, 0.5000, 0.5000) x1
Hg (0.5000, 0.5000, 0.0000) x1

Results
The formation energy comes out at -20.8 kJ per mole of atoms. For the density of states at the Fermi level, the calculation gives 1.65 states/eV/atom. Its distance to the lowest polymorph of the same formula is 0 meV per atom. For the volume, the calculation gives 29.06 Å³ per atom. For the energy, the calculation gives -8.4619 eV per atom. Its total moment is 15.6 Bohr magnetons per cell.